# 1
{
  "formula": "Te4PdPt2",
  "functional": "PBE",
  "state": "relaxed",
  "magmom_total_mub_per_fu": 0.000,
  "rho_g_cm3": 8.1,
  "space_group": "I4/mmm, No. 139",
  "formation_energy_uncorrected_mev_per_atom": 67,
  "polymorph_energy_mev_per_atom": 404,
  "lattice": [[5.0777, 0.0000, 0.0000], [0.0000, 5.0777, 0.0000], [0.0000, 0.0000, 16.1002]],
  "species": ["Te", "Te", "Te", "Te", "Te", "Te", "Te", "Te", "Pd", "Pd", "Pt", "Pt", "Pt", "Pt"],
  "fractional_positions": [[0.0000, 0.0000, 0.2418], [0.0000, 0.0000, 0.7582], [0.0000, 0.5000, 0.0000], [0.0000, 0.5000, 0.5000], [0.5000, 0.0000, 0.0000], [0.5000, 0.0000, 0.5000], [0.5000, 0.5000, 0.2582], [0.5000, 0.5000, 0.7418], [0.0000, 0.0000, 0.5000], [0.5000, 0.5000, 0.0000], [0.0000, 0.0000, 0.0838], [0.0000, 0.0000, 0.9162], [0.5000, 0.5000, 0.4162], [0.5000, 0.5000, 0.5838]]
}

***

# 2
{
  "formula": "BaMn3N",
  "functional": "PBE",
  "state": "relaxed",
  "magmom_total_mub_per_fu": 16.000,
  "rho_g_cm3": 2.0,
  "space_group": "Pm-3m, No. 221",
  "formation_energy_uncorrected_mev_per_atom": 2900,
  "polymorph_energy_mev_per_atom": 2348,
  "lattice": [[6.3555, 0.0000, 0.0000], [0.0000, 6.3555, 0.0000], [0.0000, 0.0000, 6.3555]],
  "species": ["Ba", "Mn", "Mn", "Mn", "N"],
  "fractional_positions": [[0.0000, 0.0000, 0.0000], [0.0000, 0.0000, 0.5000], [0.0000, 0.5000, 0.0000], [0.5000, 0.0000, 0.0000], [0.5000, 0.5000, 0.5000]]
}